Tl2CuW | PBE-GGA | relaxed

Values from the calculation:
The density of states at the Fermi level comes out at 1.058 states/eV/atom. As for the total energy: -4.424 eV/atom. Its energy of formation from the pure elements is 1.02 eV/atom. As for the polymorph energy (0 for the lowest one): 378.7 meV per atom.

abc: 5.350 5.350 5.350
angles: 134.49 134.49 66.32
Fractional positions:
Cu (0.250, 0.750, 0.500)
Tl (0.000, 0.000, 0.000)
Tl (0.500, 0.500, 0.000)
W (0.750, 0.250, 0.500)